1.
A plane-wave DFT calculation with PBE was carried out for crystalline VWN at its relaxed geometry.

Lattice parameters (Å, degrees): 2.9164 2.9164 7.9933 90.00 90.00 90.00
Last column: nearest neighbours and their distance in Å.
Element x y z (fractional)
1 N 0.0000 0.5000 0.6215  5 V 2.07-2.12, 1 W 2.07
2 N 0.5000 0.0000 0.3785  5 V 2.07-2.12, 1 W 2.07
3 V 0.5000 0.0000 0.6442  5 N 2.07-2.12
4 V 0.0000 0.5000 0.3558  5 N 2.07-2.12
5 W 0.0000 0.5000 0.8807  1 N 2.07
6 W 0.5000 0.0000 0.1193  1 N 2.07

Computed properties:
Crystal system ... tetragonal
Space-group type ... P4/nmm, No. 129
Final energy ... -10.740 eV/atom
Formation energy from raw total energies ... -608 meV/atom



2.
A plane-wave DFT calculation with PBE was carried out for crystalline V3WN at its relaxed geometry.

Lattice parameters (Å, degrees): 4.5686 4.5686 4.5686 90.00 90.00 90.00
Last column: nearest neighbours and their distance in Å.
Element x y z (fractional)
1 V 0.0000 0.5000 0.0000  2 W 2.28
2 V 0.0000 0.0000 0.5000  2 W 2.28
3 V 0.5000 0.0000 0.0000  2 W 2.28
4 W 0.0000 0.0000 0.0000  6 V 2.28
5 N 0.5000 0.5000 0.5000  12 V 3.23

Computed properties:
Crystal system ... cubic
Space-group type ... Pm-3m, No. 221
Final energy ... -7.303 eV/atom
Formation energy from raw total energies ... 2424 meV/atom



3.
A plane-wave DFT calculation with PBE was carried out for crystalline VWN at its relaxed geometry.

Lattice parameters (Å, degrees): 4.5737 2.9661 2.9661 120.00 90.00 90.00
Last column: nearest neighbours and their distance in Å.
Element x y z (fractional)
1 N 0.3501 0.6667 0.3333  3 V 2.01, 3 W 2.14
2 W 0.0713 0.0000 0.0000  3 N 2.14
3 V 0.5787 0.3333 0.6667  3 N 2.01

Computed properties:
Crystal system ... trigonal
Space-group type ... P3m1, No. 156
Final energy ... -10.557 eV/atom
Formation energy from raw total energies ... -425 meV/atom



4.
A plane-wave DFT calculation with PBE was carried out for crystalline VWN at its relaxed geometry.

Lattice parameters (Å, degrees): 2.6438 2.6438 5.2141 104.69 104.69 90.00
Last column: nearest neighbours and their distance in Å.
Element x y z (fractional)
1 V 0.2877 0.2877 0.5755  4 N 2.07
2 W 0.0169 0.0169 0.0337  4 N 2.55, 1 V 2.64, 4 W 2.64
3 N 0.6954 0.6954 0.3908  4 V 2.07

Computed properties:
Crystal system ... tetragonal
Space-group type ... I4mm, No. 107
Final energy ... -10.142 eV/atom
Formation energy from raw total energies ... -9 meV/atom



5.
A plane-wave DFT calculation with PBE was carried out for crystalline VWN3 at its relaxed geometry.

Lattice parameters (Å, degrees): 3.9340 3.9340 3.9340 90.00 90.00 90.00
Last column: nearest neighbours and their distance in Å.
Element x y z (fractional)
1 V 0.5000 0.5000 0.5000  12 N 2.78
2 W 0.0000 0.0000 0.0000  6 N 1.97
3 N 0.0000 0.5000 0.0000  2 W 1.97
4 N 0.0000 0.0000 0.5000  2 W 1.97
5 N 0.5000 0.0000 0.0000  2 W 1.97

Computed properties:
Crystal system ... cubic
Space-group type ... Pm-3m, No. 221
Final energy ... -8.993 eV/atom
Formation energy from raw total energies ... 417 meV/atom



6.
A plane-wave DFT calculation with PBE was carried out for crystalline VW3N at its relaxed geometry.

Lattice parameters (Å, degrees): 4.1191 4.1191 4.1191 90.00 90.00 90.00
Last column: nearest neighbours and their distance in Å.
Element x y z (fractional)
1 V 0.5000 0.5000 0.5000  12 W 2.91
2 W 0.0000 0.5000 0.0000  2 N 2.06
3 W 0.0000 0.0000 0.5000  2 N 2.06
4 W 0.5000 0.0000 0.0000  2 N 2.06
5 N 0.0000 0.0000 0.0000  6 W 2.06

Computed properties:
Crystal system ... cubic
Space-group type ... Pm-3m, No. 221
Final energy ... -11.172 eV/atom
Formation energy from raw total energies ... 89 meV/atom



Repeat the first record exactly.
A plane-wave DFT calculation with PBE was carried out for crystalline VWN at its relaxed geometry.

Lattice parameters (Å, degrees): 2.9164 2.9164 7.9933 90.00 90.00 90.00
Last column: nearest neighbours and their distance in Å.
Element x y z (fractional)
1 N 0.0000 0.5000 0.6215  5 V 2.07-2.12, 1 W 2.07
2 N 0.5000 0.0000 0.3785  5 V 2.07-2.12, 1 W 2.07
3 V 0.5000 0.0000 0.6442  5 N 2.07-2.12
4 V 0.0000 0.5000 0.3558  5 N 2.07-2.12
5 W 0.0000 0.5000 0.8807  1 N 2.07
6 W 0.5000 0.0000 0.1193  1 N 2.07

Computed properties:
Crystal system ... tetragonal
Space-group type ... P4/nmm, No. 129
Final energy ... -10.740 eV/atom
Formation energy from raw total energies ... -608 meV/atom